The following is a DFT calculation (GGA-PBE) of crystalline Ga3Sn3I at its relaxed geometry.

Summary:
**SG**: Pm-3n
**Raw formation energy**: 0.216 eV per atom
**N(E_F)**: 20.6 states/eV per cell

```
data_Ga3Sn3I
_symmetry_space_group_name_H-M 'P 1'
_symmetry_Int_Tables_number 1
_symmetry_space_group_name_Hall 'P 1'
_cell_length_a 7.6826
_cell_length_b 7.6826
_cell_length_c 7.6826
_cell_angle_alpha 90.00
_cell_angle_beta 90.00
_cell_angle_gamma 90.00
loop_
_atom_site_label
_atom_site_type_symbol
_atom_site_fract_x
_atom_site_fract_y
_atom_site_fract_z
_atom_site_occupancy
Ga1 Ga 0.5000 0.0000 0.2500 1
Ga2 Ga 0.0000 0.2500 0.5000 1
Ga3 Ga 0.7500 0.5000 0.0000 1
Ga4 Ga 0.2500 0.5000 0.0000 1
Ga5 Ga 0.0000 0.7500 0.5000 1
Ga6 Ga 0.5000 0.0000 0.7500 1
Sn1 Sn 0.2500 0.0000 0.5000 1
Sn2 Sn 0.0000 0.5000 0.2500 1
Sn3 Sn 0.5000 0.2500 0.0000 1
Sn4 Sn 0.7500 0.0000 0.5000 1
Sn5 Sn 0.0000 0.5000 0.7500 1
Sn6 Sn 0.5000 0.7500 0.0000 1
I1 I 0.0000 0.0000 0.0000 1
I2 I 0.5000 0.5000 0.5000 1
```


The following is a DFT calculation (GGA-PBE) of crystalline Ga3SnI at its relaxed geometry.

Summary:
**SG**: Pm-3m
**Raw formation energy**: 0.236 eV per atom
**N(E_F)**: 3.1 states/eV per cell
**Energy above the lowest structure with this stoichiometry**: 0 meV/atom

```
data_Ga3SnI
_symmetry_space_group_name_H-M 'P 1'
_symmetry_Int_Tables_number 1
_symmetry_space_group_name_Hall 'P 1'
_cell_length_a 5.5286
_cell_length_b 5.5286
_cell_length_c 5.5286
_cell_angle_alpha 90.00
_cell_angle_beta 90.00
_cell_angle_gamma 90.00
loop_
_atom_site_label
_atom_site_type_symbol
_atom_site_fract_x
_atom_site_fract_y
_atom_site_fract_z
_atom_site_occupancy
Ga1 Ga 0.0000 0.5000 0.0000 1
Ga2 Ga 0.0000 0.0000 0.5000 1
Ga3 Ga 0.5000 0.0000 0.0000 1
I1 I 0.5000 0.5000 0.5000 1
Sn1 Sn 0.0000 0.0000 0.0000 1
```


The following is a DFT calculation (GGA-PBE) of crystalline GaSn2I5 at its relaxed geometry.

Summary:
**SG**: P2_1/c
**Raw formation energy**: -0.413 eV per atom

```
data_GaSn2I5
_symmetry_space_group_name_H-M 'P 1'
_symmetry_Int_Tables_number 1
_symmetry_space_group_name_Hall 'P 1'
_cell_length_a 7.8686
_cell_length_b 11.9243
_cell_length_c 15.3770
_cell_angle_alpha 106.72
_cell_angle_beta 90.00
_cell_angle_gamma 90.00
loop_
_atom_site_label
_atom_site_type_symbol
_atom_site_fract_x
_atom_site_fract_y
_atom_site_fract_z
_atom_site_occupancy
I1 I 0.2627 0.2737 0.5167 1
I2 I 0.6716 0.1201 0.0851 1
I3 I 0.3020 0.5046 0.8431 1
I4 I 0.7832 0.2995 0.8595 1
I5 I 0.8020 0.4954 0.6569 1
I6 I 0.6980 0.9172 0.2931 1
I7 I 0.3020 0.0828 0.7069 1
I8 I 0.1716 0.8799 0.4149 1
I9 I 0.3284 0.8799 0.9149 1
I10 I 0.2832 0.7005 0.6405 1
I11 I 0.1980 0.0828 0.2069 1
I12 I 0.2373 0.2737 0.0167 1
I13 I 0.1980 0.5046 0.3431 1
I14 I 0.6980 0.4954 0.1569 1
I15 I 0.7373 0.7263 0.4833 1
I16 I 0.2168 0.7005 0.1405 1
I17 I 0.7627 0.7263 0.9833 1
I18 I 0.7168 0.2995 0.3595 1
I19 I 0.8020 0.9172 0.7931 1
I20 I 0.8284 0.1201 0.5851 1
Sn1 Sn 0.9738 0.1172 0.3871 1
Sn2 Sn 0.5262 0.1172 0.8871 1
Sn3 Sn 0.5551 0.6754 0.7975 1
Sn4 Sn 0.4449 0.3246 0.2025 1
Sn5 Sn 0.9449 0.6754 0.2975 1
Sn6 Sn 0.0551 0.3246 0.7025 1
Sn7 Sn 0.0262 0.8828 0.6129 1
Sn8 Sn 0.4738 0.8828 0.1129 1
Ga1 Ga 0.0000 0.5000 0.0000 1
Ga2 Ga 0.0000 0.0000 0.0000 1
Ga3 Ga 0.5000 0.0000 0.5000 1
Ga4 Ga 0.5000 0.5000 0.5000 1
```


The following is a DFT calculation (GGA-PBE) of crystalline GaSnI5 at its relaxed geometry.

Summary:
**SG**: P1
**Raw formation energy**: -0.450 eV per atom

```
data_GaSnI5
_symmetry_space_group_name_H-M 'P 1'
_symmetry_Int_Tables_number 1
_symmetry_space_group_name_Hall 'P 1'
_cell_length_a 8.2799
_cell_length_b 8.2802
_cell_length_c 11.7326
_cell_angle_alpha 110.94
_cell_angle_beta 108.92
_cell_angle_gamma 92.02
loop_
_atom_site_label
_atom_site_type_symbol
_atom_site_fract_x
_atom_site_fract_y
_atom_site_fract_z
_atom_site_occupancy
I1 I 0.8949 0.1611 0.2593 1
I2 I 0.7363 0.6622 0.9406 1
I3 I 0.7298 0.6932 0.3439 1
I4 I 0.0997 0.8651 0.7598 1
I5 I 0.7110 0.2775 0.5508 1
I6 I 0.3469 0.8940 0.1628 1
I7 I 0.2746 0.3413 0.0516 1
I8 I 0.2801 0.7055 0.4414 1
I9 I 0.6520 0.1151 0.8434 1
I10 I 0.2695 0.3157 0.6619 1
Ga1 Ga 0.3906 0.6418 0.2485 1
Ga2 Ga 0.6075 0.3584 0.7476 1
Sn1 Sn 0.0029 0.9990 0.9897 1
Sn2 Sn 0.9914 0.4876 0.4897 1
```


The following is a DFT calculation (GGA-PBE) of crystalline Ga2Sn4I9 at its relaxed geometry.

Summary:
**SG**: P-1
**Raw formation energy**: -0.355 eV per atom
**N(E_F)**: 11.8 states/eV per cell

```
data_Ga2Sn4I9
_symmetry_space_group_name_H-M 'P 1'
_symmetry_Int_Tables_number 1
_symmetry_space_group_name_Hall 'P 1'
_cell_length_a 7.8411
_cell_length_b 7.9915
_cell_length_c 23.4911
_cell_angle_alpha 91.77
_cell_angle_beta 89.96
_cell_angle_gamma 60.64
loop_
_atom_site_label
_atom_site_type_symbol
_atom_site_fract_x
_atom_site_fract_y
_atom_site_fract_z
_atom_site_occupancy
Ga1 Ga 0.0002 0.0058 0.1629 1
Ga2 Ga 0.9998 0.9942 0.8371 1
Ga3 Ga 0.9941 0.0056 0.6629 1
Ga4 Ga 0.0059 0.9944 0.3371 1
Sn1 Sn 0.6633 0.6696 0.0053 1
Sn2 Sn 0.3030 0.3403 0.1758 1
Sn3 Sn 0.3565 0.3409 0.6758 1
Sn4 Sn 0.3367 0.3304 0.9947 1
Sn5 Sn 0.3328 0.3304 0.4946 1
Sn6 Sn 0.6672 0.6696 0.5054 1
Sn7 Sn 0.6970 0.6597 0.8242 1
Sn8 Sn 0.6435 0.6591 0.3242 1
I1 I 0.9801 0.6844 0.2484 1
I2 I 0.3433 0.6558 0.4166 1
I3 I 0.6703 0.0003 0.7501 1
I4 I 0.6613 0.9733 0.4173 1
I5 I 0.0010 0.6552 0.9166 1
I6 I 0.0199 0.3156 0.7516 1
I7 I 0.6567 0.3442 0.5834 1
I8 I 0.3358 0.6847 0.7483 1
I9 I 0.9885 0.3523 0.4208 1
I10 I 0.6642 0.3153 0.2517 1
I11 I 0.6595 0.3522 0.9208 1
I12 I 0.3387 0.0267 0.5827 1
I13 I 0.3297 0.9997 0.2499 1
I14 I 0.3651 0.9733 0.9174 1
I15 I 0.3405 0.6478 0.0792 1
I16 I 0.0115 0.6477 0.5792 1
I17 I 0.6349 0.0267 0.0826 1
I18 I 0.9990 0.3448 0.0834 1
```


The following is a DFT calculation (GGA-PBE) of crystalline Ga2Sn2I at its relaxed geometry.

Summary:
**SG**: P4/mbm
**Raw formation energy**: 0.064 eV per atom
**N(E_F)**: 4.8 states/eV per cell
**Energy above the lowest structure with this stoichiometry**: 41 meV/atom

```
data_Ga2Sn2I
_symmetry_space_group_name_H-M 'P 1'
_symmetry_Int_Tables_number 1
_symmetry_space_group_name_Hall 'P 1'
_cell_length_a 8.6624
_cell_length_b 8.6624
_cell_length_c 3.6263
_cell_angle_alpha 90.00
_cell_angle_beta 90.00
_cell_angle_gamma 90.00
loop_
_atom_site_label
_atom_site_type_symbol
_atom_site_fract_x
_atom_site_fract_y
_atom_site_fract_z
_atom_site_occupancy
Ga1 Ga 0.6255 0.8745 0.5000 1
Ga2 Ga 0.3745 0.1255 0.5000 1
Ga3 Ga 0.1255 0.6255 0.5000 1
Ga4 Ga 0.8745 0.3745 0.5000 1
Sn1 Sn 0.1679 0.3321 0.0000 1
Sn2 Sn 0.8321 0.6679 0.0000 1
Sn3 Sn 0.6679 0.1679 0.0000 1
Sn4 Sn 0.3321 0.8321 0.0000 1
I1 I 0.5000 0.5000 0.0000 1
I2 I 0.0000 0.0000 0.0000 1
```


The following is a DFT calculation (GGA-PBE) of crystalline Ga2Sn2I7 at its relaxed geometry.

Summary:
**SG**: C2/m
**Raw formation energy**: -0.358 eV per atom
**N(E_F)**: 3.7 states/eV per cell

```
data_Ga2Sn2I7
_symmetry_space_group_name_H-M 'P 1'
_symmetry_Int_Tables_number 1
_symmetry_space_group_name_Hall 'P 1'
_cell_length_a 8.5830
_cell_length_b 8.1909
_cell_length_c 8.1909
_cell_angle_alpha 110.99
_cell_angle_beta 92.88
_cell_angle_gamma 92.88
loop_
_atom_site_label
_atom_site_type_symbol
_atom_site_fract_x
_atom_site_fract_y
_atom_site_fract_z
_atom_site_occupancy
I1 I 0.0000 0.0000 0.0000 1
I2 I 0.7044 0.4062 0.0404 1
I3 I 0.7044 0.0404 0.4062 1
I4 I 0.7416 0.5955 0.5955 1
I5 I 0.2584 0.4045 0.4045 1
I6 I 0.2956 0.9596 0.5938 1
I7 I 0.2956 0.5938 0.9596 1
Sn1 Sn 0.5000 0.6746 0.3254 1
Sn2 Sn 0.5000 0.3254 0.6746 1
Ga1 Ga 0.1103 0.7263 0.7263 1
Ga2 Ga 0.8897 0.2737 0.2737 1
```


The following is a DFT calculation (GGA-PBE) of crystalline GaSnI at its relaxed geometry.

Summary:
**SG**: Cmce
**Raw formation energy**: -0.022 eV per atom
**N(E_F)**: 4.5 states/eV per cell

```
data_GaSnI
_symmetry_space_group_name_H-M 'P 1'
_symmetry_Int_Tables_number 1
_symmetry_space_group_name_Hall 'P 1'
_cell_length_a 6.3113
_cell_length_b 9.9934
_cell_length_c 6.2293
_cell_angle_alpha 90.00
_cell_angle_beta 90.00
_cell_angle_gamma 108.41
loop_
_atom_site_label
_atom_site_type_symbol
_atom_site_fract_x
_atom_site_fract_y
_atom_site_fract_z
_atom_site_occupancy
Ga1 Ga 0.6523 0.3046 0.4735 1
Ga2 Ga 0.1523 0.3046 0.0265 1
Ga3 Ga 0.8477 0.6954 0.9735 1
Ga4 Ga 0.3477 0.6954 0.5265 1
I1 I 0.3187 0.6374 0.0360 1
I2 I 0.8187 0.6374 0.4640 1
I3 I 0.1813 0.3626 0.5360 1
I4 I 0.6813 0.3626 0.9640 1
Sn1 Sn 0.7643 0.0286 0.2500 1
Sn2 Sn 0.7357 0.9714 0.7500 1
Sn3 Sn 0.2643 0.0286 0.2500 1
Sn4 Sn 0.2357 0.9714 0.7500 1
```


The following is a DFT calculation (GGA-PBE) of crystalline GaSnI2 at its relaxed geometry.

Summary:
**SG**: Fm-3m
**Raw formation energy**: -0.085 eV per atom
**N(E_F)**: 1.8 states/eV per cell
**Energy above the lowest structure with this stoichiometry**: 21 meV/atom

```
data_GaSnI2
_symmetry_space_group_name_H-M 'P 1'
_symmetry_Int_Tables_number 1
_symmetry_space_group_name_Hall 'P 1'
_cell_length_a 5.6347
_cell_length_b 5.6347
_cell_length_c 5.6347
_cell_angle_alpha 60.00
_cell_angle_beta 60.00
_cell_angle_gamma 60.00
loop_
_atom_site_label
_atom_site_type_symbol
_atom_site_fract_x
_atom_site_fract_y
_atom_site_fract_z
_atom_site_occupancy
Sn1 Sn 0.5000 0.5000 0.5000 1
Ga1 Ga 0.0000 0.0000 0.0000 1
I1 I 0.2500 0.2500 0.2500 1
I2 I 0.7500 0.7500 0.7500 1
```


The following is a DFT calculation (GGA-PBE) of crystalline Ga2Sn2I at its relaxed geometry.

Summary:
**SG**: P4/mbm
**Raw formation energy**: 0.082 eV per atom
**N(E_F)**: 5.0 states/eV per cell
**Energy above the lowest structure with this stoichiometry**: 59 meV/atom

```
data_Ga2Sn2I
_symmetry_space_group_name_H-M 'P 1'
_symmetry_Int_Tables_number 1
_symmetry_space_group_name_Hall 'P 1'
_cell_length_a 8.4862
_cell_length_b 8.4862
_cell_length_c 3.7633
_cell_angle_alpha 90.00
_cell_angle_beta 90.00
_cell_angle_gamma 90.00
loop_
_atom_site_label
_atom_site_type_symbol
_atom_site_fract_x
_atom_site_fract_y
_atom_site_fract_z
_atom_site_occupancy
Ga1 Ga 0.8276 0.6724 0.0000 1
Ga2 Ga 0.6724 0.1724 0.0000 1
Ga3 Ga 0.1724 0.3276 0.0000 1
Ga4 Ga 0.3276 0.8276 0.0000 1
I1 I 0.0000 0.0000 0.0000 1
I2 I 0.5000 0.5000 0.0000 1
Sn1 Sn 0.6283 0.8717 0.5000 1
Sn2 Sn 0.3717 0.1283 0.5000 1
Sn3 Sn 0.8717 0.3717 0.5000 1
Sn4 Sn 0.1283 0.6283 0.5000 1
```


Repeat the sixth record exactly.
The following is a DFT calculation (GGA-PBE) of crystalline Ga2Sn2I at its relaxed geometry.

Summary:
**SG**: P4/mbm
**Raw formation energy**: 0.064 eV per atom
**N(E_F)**: 4.8 states/eV per cell
**Energy above the lowest structure with this stoichiometry**: 41 meV/atom

```
data_Ga2Sn2I
_symmetry_space_group_name_H-M 'P 1'
_symmetry_Int_Tables_number 1
_symmetry_space_group_name_Hall 'P 1'
_cell_length_a 8.6624
_cell_length_b 8.6624
_cell_length_c 3.6263
_cell_angle_alpha 90.00
_cell_angle_beta 90.00
_cell_angle_gamma 90.00
loop_
_atom_site_label
_atom_site_type_symbol
_atom_site_fract_x
_atom_site_fract_y
_atom_site_fract_z
_atom_site_occupancy
Ga1 Ga 0.6255 0.8745 0.5000 1
Ga2 Ga 0.3745 0.1255 0.5000 1
Ga3 Ga 0.1255 0.6255 0.5000 1
Ga4 Ga 0.8745 0.3745 0.5000 1
Sn1 Sn 0.1679 0.3321 0.0000 1
Sn2 Sn 0.8321 0.6679 0.0000 1
Sn3 Sn 0.6679 0.1679 0.0000 1
Sn4 Sn 0.3321 0.8321 0.0000 1
I1 I 0.5000 0.5000 0.0000 1
I2 I 0.0000 0.0000 0.0000 1
```


> What is the raw formation energy in the fourth record?

-0.450 eV per atom


> Number 2 is which compound?

Ga3SnI


> The lowest raw formation energy belongs to which entry?

GaSnI5